## w
# CrIrRu4, relaxed, DFT PBE
# * Fermi-level density of states: 1.1567 states/eV per atom
# * symmetry: Cm, No. 8
data_CrIrRu4
_chemical_formula_sum 'Cr1 Ir1 Ru4'
_cell_length_a 2.697
_cell_length_b 4.652
_cell_length_c 7.096
_cell_angle_alpha 71.07
_cell_angle_beta 100.95
_cell_angle_gamma 90.00
_space_group_name_H-M_alt 'P 1'
_space_group_IT_number 1
_space_group_name_Hall 'P 1'
loop_
_atom_site_label
_atom_site_fract_x
_atom_site_fract_y
_atom_site_fract_z
Ru1 0.758 0.503 0.761
Ru2 0.919 0.000 0.083
Ru3 0.082 0.503 0.410
Ru4 0.257 0.996 0.759
Ir1 0.585 0.008 0.415
Cr1 0.419 0.506 0.083

## x
# CrIrRu4, relaxed, DFT PBE
# * Fermi-level density of states: 1.8265 states/eV per atom
# * symmetry: F-43m, No. 216
data_CrIrRu4
_chemical_formula_sum 'Cr1 Ir1 Ru4'
_cell_length_a 5.037
_cell_length_b 5.037
_cell_length_c 5.037
_cell_angle_alpha 60.00
_cell_angle_beta 60.00
_cell_angle_gamma 60.00
_space_group_name_H-M_alt 'P 1'
_space_group_IT_number 1
_space_group_name_Hall 'P 1'
loop_
_atom_site_label
_atom_site_fract_x
_atom_site_fract_y
_atom_site_fract_z
Ru1 0.375 0.375 0.375
Ru2 0.876 0.375 0.375
Ru3 0.375 0.375 0.876
Ru4 0.375 0.876 0.375
Ir1 0.000 0.000 0.000
Cr1 0.750 0.750 0.750

Sorted by energy, starting with the most stable: w, x.

## w
# CrIrS2, relaxed, DFT PBE
# * Fermi-level density of states: 0.7185 states/eV per atom
# * symmetry: R-3m, No. 166
data_CrIrS2
_chemical_formula_sum 'Cr1 Ir1 S2'
_cell_length_a 7.700
_cell_length_b 7.700
_cell_length_c 7.700
_cell_angle_alpha 22.04
_cell_angle_beta 22.04
_cell_angle_gamma 22.04
_space_group_name_H-M_alt 'P 1'
_space_group_IT_number 1
_space_group_name_Hall 'P 1'
loop_
_atom_site_label
_atom_site_fract_x
_atom_site_fract_y
_atom_site_fract_z
S1 0.900 0.900 0.900
S2 0.100 0.100 0.100
Cr1 0.500 0.500 0.500
Ir1 0.000 0.000 0.000

## x
# CrIrS2, relaxed, DFT PBE
# * Fermi-level density of states: 0.3277 states/eV per atom
# * symmetry: R-3m, No. 166
data_CrIrS2
_chemical_formula_sum 'Cr1 Ir1 S2'
_cell_length_a 7.339
_cell_length_b 7.339
_cell_length_c 7.339
_cell_angle_alpha 28.27
_cell_angle_beta 28.27
_cell_angle_gamma 28.27
_space_group_name_H-M_alt 'P 1'
_space_group_IT_number 1
_space_group_name_Hall 'P 1'
loop_
_atom_site_label
_atom_site_fract_x
_atom_site_fract_y
_atom_site_fract_z
Ir1 0.500 0.500 0.500
S1 0.111 0.111 0.111
S2 0.889 0.889 0.889
Cr1 0.000 0.000 0.000

Sorted by energy, starting with the most stable: w, x.

## w
# ScCrIr2, relaxed, DFT PBE
# * Fermi-level density of states: 0.9892 states/eV per atom
# * symmetry: I-42d, No. 122
data_ScCrIr2
_chemical_formula_sum 'Sc2 Cr2 Ir4'
_cell_length_a 7.078
_cell_length_b 7.078
_cell_length_c 5.670
_cell_angle_alpha 51.38
_cell_angle_beta 51.38
_cell_angle_gamma 90.00
_space_group_name_H-M_alt 'P 1'
_space_group_IT_number 1
_space_group_name_Hall 'P 1'
loop_
_atom_site_label
_atom_site_fract_x
_atom_site_fract_y
_atom_site_fract_z
Cr1 0.000 0.000 0.000
Cr2 0.750 0.250 0.500
Sc1 0.250 0.750 0.500
Sc2 0.500 0.500 0.000
Ir1 0.375 0.324 0.750
Ir2 0.676 0.125 0.250
Ir3 0.074 0.625 0.250
Ir4 0.875 0.926 0.750

## x
# ScCrIr2, relaxed, DFT PBE
# * Fermi-level density of states: 0.9819 states/eV per atom
# * symmetry: Cm, No. 8
data_ScCrIr2
_chemical_formula_sum 'Sc1 Cr1 Ir2'
_cell_length_a 4.893
_cell_length_b 4.893
_cell_length_c 4.692
_cell_angle_alpha 79.96
_cell_angle_beta 79.96
_cell_angle_gamma 34.18
_space_group_name_H-M_alt 'P 1'
_space_group_IT_number 1
_space_group_name_Hall 'P 1'
loop_
_atom_site_label
_atom_site_fract_x
_atom_site_fract_y
_atom_site_fract_z
Cr1 0.264 0.264 0.199
Ir1 0.999 0.999 0.033
Ir2 0.743 0.743 0.742
Sc1 0.494 0.494 0.526

Sorted by energy, starting with the most stable: x, w.

## w
# ScCrIr2, relaxed, DFT PBE
# * Fermi-level density of states: 0.8747 states/eV per atom
# * symmetry: P2/m, No. 10
data_ScCrIr2
_chemical_formula_sum 'Sc1 Cr1 Ir2'
_cell_length_a 2.889
_cell_length_b 4.882
_cell_length_c 5.531
_cell_angle_alpha 52.15
_cell_angle_beta 90.00
_cell_angle_gamma 90.00
_space_group_name_H-M_alt 'P 1'
_space_group_IT_number 1
_space_group_name_Hall 'P 1'
loop_
_atom_site_label
_atom_site_fract_x
_atom_site_fract_y
_atom_site_fract_z
Ir1 0.500 0.500 0.000
Ir2 0.000 0.000 0.000
Sc1 0.500 0.500 0.500
Cr1 0.000 0.000 0.500

## x
# ScCrIr2, relaxed, DFT PBE
# * Fermi-level density of states: 0.9738 states/eV per atom
# * symmetry: R-3m, No. 166
data_ScCrIr2
_chemical_formula_sum 'Sc1 Cr1 Ir2'
_cell_length_a 8.635
_cell_length_b 8.635
_cell_length_c 8.635
_cell_angle_alpha 19.38
_cell_angle_beta 19.38
_cell_angle_gamma 19.38
_space_group_name_H-M_alt 'P 1'
_space_group_IT_number 1
_space_group_name_Hall 'P 1'
loop_
_atom_site_label
_atom_site_fract_x
_atom_site_fract_y
_atom_site_fract_z
Ir1 0.496 0.496 0.496
Ir2 0.004 0.004 0.004
Cr1 0.750 0.750 0.750
Sc1 0.250 0.250 0.250

## y
# ScCrIr2, relaxed, DFT PBE
# * Fermi-level density of states: 0.9887 states/eV per atom
# * symmetry: P2/m, No. 10
data_ScCrIr2
_chemical_formula_sum 'Sc1 Cr1 Ir2'
_cell_length_a 3.458
_cell_length_b 2.983
_cell_length_c 6.688
_cell_angle_alpha 63.61
_cell_angle_beta 90.00
_cell_angle_gamma 90.00
_space_group_name_H-M_alt 'P 1'
_space_group_IT_number 1
_space_group_name_Hall 'P 1'
loop_
_atom_site_label
_atom_site_fract_x
_atom_site_fract_y
_atom_site_fract_z
Sc1 0.500 0.250 0.250
Ir1 0.000 0.480 0.520
Ir2 0.000 0.020 0.980
Cr1 0.500 0.750 0.750

## z
# ScCrIr2, relaxed, DFT PBE
# * Fermi-level density of states: 0.6883 states/eV per atom
# * symmetry: P4/mmm, No. 123
data_ScCrIr2
_chemical_formula_sum 'Sc1 Cr1 Ir2'
_cell_length_a 2.844
_cell_length_b 2.844
_cell_length_c 7.414
_cell_angle_alpha 90.00
_cell_angle_beta 90.00
_cell_angle_gamma 90.00
_space_group_name_H-M_alt 'P 1'
_space_group_IT_number 1
_space_group_name_Hall 'P 1'
loop_
_atom_site_label
_atom_site_fract_x
_atom_site_fract_y
_atom_site_fract_z
Cr1 0.500 0.500 0.750
Sc1 0.500 0.500 0.250
Ir1 0.000 0.000 0.531
Ir2 0.000 0.000 0.969

Sorted by energy, starting with the most stable: z, y, w, x.